VASP calculation (PBE) on a relaxed LaSm2Os crystal.

Structure (POSCAR):
```
LaSm2Os
1.0
3.4812 0.0000 0.0000
0.0000 3.4812 0.0000
0.0000 0.0000 9.7026
La Sm Os
1 2 1
Cartesian
0.0000 0.0000 0.0000
1.7406 1.7406 3.1592
1.7406 1.7406 6.5434
0.0000 0.0000 4.8513
```

As for the space-group type: P4/mmm (123). The total energy comes out at -25.7 eV per cell. The formation energy from the elements is -0.016 eV per atom. As for the distance to the lowest polymorph of the same formula: 0.1421 eV/atom.



VASP calculation (PBE) on a relaxed MnFe3Rh crystal.

Structure (POSCAR):
```
MnFe3Rh
1.0
4.5839 0.0000 0.0000
0.0000 4.5839 0.0000
0.0000 0.0000 4.5839
Mn Fe Rh
1 3 1
Cartesian
0.0000 0.0000 0.0000
0.0000 2.2919 2.2919
2.2919 0.0000 2.2919
2.2919 2.2919 0.0000
2.2919 2.2919 2.2919
```

As for the space-group type: Pm-3m (221). The total energy comes out at -35.4 eV per cell. The formation energy from the elements is 1.295 eV per atom. As for the distance to the lowest polymorph of the same formula: 0.2114 eV/atom.



VASP calculation (PBE) on a relaxed Cs2KSr2 crystal.

Structure (POSCAR):
```
Cs2KSr2
1.0
-2.8039 2.8039 13.8112
2.8039 -2.8039 13.8112
2.8039 2.8039 -13.8112
Cs K Sr
2 1 2
Cartesian
0.0000 0.0000 2.9615
0.0000 0.0000 24.6610
0.0000 0.0000 13.8112
2.8039 0.0000 6.9056
0.0000 2.8039 6.9056
```

As for the space-group type: I4/mmm (139). The total energy comes out at -5.1 eV per cell. The formation energy from the elements is 0.214 eV per atom. As for the distance to the lowest polymorph of the same formula: 0.0000 eV/atom.



VASP calculation (PBE) on a relaxed Si2AgOs crystal.

Structure (POSCAR):
```
Si2AgOs
1.0
2.9328 0.0000 0.0000
0.0000 4.1070 0.0000
0.0000 0.0000 5.1031
Si Ag Os
2 1 1
Cartesian
0.0000 0.0000 0.0000
1.4664 0.0000 2.5516
0.0000 2.0535 2.5516
1.4664 2.0535 0.0000
```

As for the space-group type: Pmmm (47). For the uncorrected formation energy, the calculation gives 0.479 eV/atom. The total energy comes out at -23.0 eV per cell. As for the distance to the lowest polymorph of the same formula: 0.4470 eV/atom.



VASP calculation (PBE) on a relaxed AcEuTe2 crystal.

Structure (POSCAR):
```
AcEuTe2
1.0
0.0000 4.0274 4.0274
4.0274 0.0000 4.0274
4.0274 4.0274 0.0000
Ac Eu Te
1 1 2
Cartesian
0.0000 0.0000 0.0000
4.0274 4.0274 4.0274
2.0137 2.0137 2.0137
6.0410 6.0410 6.0410
```

As for the space-group type: Fm-3m (225). For the uncorrected formation energy, the calculation gives -1.419 eV/atom. The total energy comes out at -26.3 eV per cell. As for the distance to the lowest polymorph of the same formula: 0.0124 eV/atom.



VASP calculation (PBE) on a relaxed SmEu2Tm crystal.

Structure (POSCAR):
```
SmEu2Tm
1.0
3.6512 0.0000 0.0000
0.0000 3.6512 0.0000
0.0000 0.0000 10.6282
Sm Eu Tm
1 2 1
Cartesian
0.0000 0.0000 0.0000
1.8256 1.8256 2.7107
1.8256 1.8256 7.9175
0.0000 0.0000 5.3141
```

As for the space-group type: P4/mmm (123). The total energy comes out at -29.3 eV per cell. The formation energy from the elements is 0.116 eV per atom. As for the distance to the lowest polymorph of the same formula: 0.0000 eV/atom.



VASP calculation (PBE) on a relaxed AcPm3 crystal.

Structure (POSCAR):
```
AcPm3
1.0
-2.6489 2.6489 5.2639
2.6489 -2.6489 5.2639
2.6489 2.6489 -5.2639
Ac Pm
1 3
Cartesian
0.0000 0.0000 0.0000
2.6489 0.0000 2.6319
0.0000 0.0000 5.2639
0.0000 2.6489 2.6319
```

As for the space-group type: I4/mmm (139). The total energy comes out at -18.2 eV per cell. The formation energy from the elements is 0.038 eV per atom. As for the distance to the lowest polymorph of the same formula: 0.0089 eV/atom.



VASP calculation (PBE) on a relaxed Mn3BeTe crystal.

Structure (POSCAR):
```
Mn3BeTe
1.0
4.8473 0.0000 0.0000
0.0000 4.8473 0.0000
0.0000 0.0000 4.8473
Mn Be Te
3 1 1
Cartesian
0.0000 0.0000 2.4236
0.0000 2.4236 0.0000
2.4236 0.0000 0.0000
2.4236 2.4236 2.4236
0.0000 0.0000 0.0000
```

As for the space-group type: Pm-3m (221). For the uncorrected formation energy, the calculation gives 1.385 eV/atom. The total energy comes out at -27.5 eV per cell. As for the distance to the lowest polymorph of the same formula: 0.9898 eV/atom.



VASP calculation (PBE) on a relaxed MnIn3Sn crystal.

Structure (POSCAR):
```
MnIn3Sn
1.0
5.1144 0.0000 0.0000
0.0000 5.1144 0.0000
0.0000 0.0000 5.1144
Mn In Sn
1 3 1
Cartesian
0.0000 0.0000 0.0000
0.0000 0.0000 2.5572
0.0000 2.5572 0.0000
2.5572 0.0000 0.0000
2.5572 2.5572 2.5572
```

As for the space-group type: Pm-3m (221). The total energy comes out at -19.8 eV per cell. The formation energy from the elements is 0.327 eV per atom. As for the distance to the lowest polymorph of the same formula: 0.0000 eV/atom.



VASP calculation (PBE) on a relaxed YZrS4 crystal.

Structure (POSCAR):
```
YZrS4
1.0
4.4145 -4.4642 0.0000
4.4145 4.4642 0.0000
0.0000 0.0000 3.8928
Y Zr S
1 1 4
Cartesian
0.0000 0.0000 0.0000
4.4145 0.0000 1.9464
1.8688 0.0000 1.9464
4.4145 1.7027 0.0000
4.4145 -1.7027 0.0000
6.9602 0.0000 1.9464
```

As for the space-group type: Cmmm (65). For the uncorrected formation energy, the calculation gives -1.377 eV/atom. The total energy comes out at -39.8 eV per cell.



VASP calculation (PBE) on a relaxed La2TcHg crystal.

Structure (POSCAR):
```
La2TcHg
1.0
3.8175 -1.8065 0.0000
3.8175 1.8065 0.0000
-1.3491 0.0000 8.3567
La Tc Hg
2 1 1
Cartesian
1.6325 0.0000 1.6671
4.6535 0.0000 6.6896
3.8175 0.0000 0.0000
-0.6746 0.0000 4.1783
```

As for the space-group type: C2/m (12). The total energy comes out at -20.6 eV per cell. The formation energy from the elements is -0.015 eV per atom.



VASP calculation (PBE) on a relaxed PuMgGa4 crystal.

Structure (POSCAR):
```
PuMgGa4
1.0
0.0000 3.8934 3.8934
3.8934 0.0000 3.8934
3.8934 3.8934 0.0000
Pu Mg Ga
1 1 4
Cartesian
0.0000 0.0000 0.0000
1.9467 1.9467 1.9467
4.8715 2.9152 2.9152
2.9152 4.8715 2.9152
2.9152 2.9152 4.8715
4.8715 4.8715 4.8715
```

As for the space-group type: F-43m (216). The total energy comes out at -29.1 eV per cell. The formation energy from the elements is -0.182 eV per atom. As for the distance to the lowest polymorph of the same formula: 0.1070 eV/atom.



| no. | magnetic moment (Bohr magnetons per cell) |
| --- | --- |
| 1 | 0.0 |
| 2 | 14.4 |
| 3 | 0.0 |
| 4 | 0.0 |
| 5 | 7.9 |
| 6 | 15.2 |
| 7 | 0.0 |
| 8 | 10.4 |
| 9 | 2.3 |
| 10 | 0.0 |
| 11 | 0.0 |
| 12 | 6.3 |